[1]
Density functional theory data (PBE) for crystalline Sn6Te3PS2 at its relaxed geometry.

Unit cell a=7.4445 b=7.4445 c=7.4212 alpha=99.58 beta=99.58 gamma=120.23
Fractional coordinates of all 12 atoms:
1 Sn 0.0736 0.3973 0.2182
2 Sn 0.2487 0.2487 0.7753
3 Sn 0.3973 0.0736 0.2182
4 Sn 0.6027 0.9264 0.7818
5 Sn 0.7513 0.7513 0.2247
6 Sn 0.9264 0.6027 0.7818
7 Te 0.1659 0.8341 0.5000
8 Te 0.5000 0.5000 0.5000
9 Te 0.8341 0.1659 0.5000
10 P 0.0000 0.0000 0.0000
11 S 0.3307 0.6693 0.0000
12 S 0.6693 0.3307 0.0000

Results
calculated volume = 27.91 Å³/atom
raw formation energy = -0.24 eV/atom
M_tot = 0.00 μB per formula unit

***

[2]
Density functional theory data (PBE) for crystalline TaCu2S4 at its relaxed geometry.

Unit cell a=6.4259 b=6.4259 c=11.2027 alpha=90.00 beta=90.00 gamma=149.77
Fractional coordinates of all 14 atoms:
1 Ta 0.1065 0.8935 0.7500
2 Ta 0.8935 0.1065 0.2500
3 Cu 0.3777 0.6223 0.5654
4 Cu 0.3777 0.6223 0.9346
5 Cu 0.6223 0.3777 0.0654
6 Cu 0.6223 0.3777 0.4346
7 S 0.0000 0.0000 0.0000
8 S 0.0000 0.0000 0.5000
9 S 0.2984 0.7016 0.1194
10 S 0.2984 0.7016 0.3806
11 S 0.4560 0.5440 0.7500
12 S 0.5440 0.4560 0.2500
13 S 0.7016 0.2984 0.6194
14 S 0.7016 0.2984 0.8806

Results
distance to the lowest polymorph of the same formula = 137 meV/atom
calculated volume = 16.63 Å³/atom
raw formation energy = -0.41 eV/atom
M_tot = 0.00 μB per formula unit